1.
Crystalline LiHf2Be2 at its relaxed geometry, computed with PBE.

Computed properties:
V: 15.51 A^3/atom
raw total energy: -5.79 eV per atom

Unit cell a=6.307 b=6.307 c=3.899 alpha=90.00 beta=90.00 gamma=90.00
Space group P4/mbm (No. 127)
Asymmetric unit:
Li1 0.000 0.000 0.000 x2
Hf1 0.171 0.329 0.500 x4
Be1 0.121 0.621 0.000 x4

2.
Crystalline LiHfBe2 at its relaxed geometry, computed with PBE.

Computed properties:
excess energy over the best structure of this formula in the dataset: 0 meV/atom
V: 13.28 A^3/atom
raw total energy: -4.67 eV per atom

Unit cell a=5.967 b=5.967 c=5.967 alpha=90.00 beta=90.00 gamma=90.00
Space group Fm-3m (No. 225)
Asymmetric unit:
Li1 0.000 0.000 0.000 x4
Hf1 0.000 0.000 0.500 x4
Be1 0.250 0.250 0.250 x8

3.
Crystalline LiHfBe2 at its relaxed geometry, computed with PBE.

Computed properties:
excess energy over the best structure of this formula in the dataset: 443 meV/atom
V: 14.17 A^3/atom
raw total energy: -4.23 eV per atom

Unit cell a=6.618 b=6.618 c=5.176 alpha=90.00 beta=90.00 gamma=90.00
Space group I-42d (No. 122)
Asymmetric unit:
Li1 0.000 0.000 0.000 x4
Hf1 0.000 0.000 0.500 x4
Be1 0.216 0.250 0.125 x8

ΔH_f (0 K)
In order: 1.55, 3.58, 13.79
Unit: kcal/mol of atoms